[1]
Compound: SrLiCa2
Source: the Alexandria database
Functional: PBE-GGA
Structure: optimized geometry

Unit cell a=5.287 b=5.287 c=11.668 alpha=90.00 beta=90.00 gamma=90.00
Space group I4/mmm (No. 139)
Asymmetric unit:
Sr (0.000, 0.000, 0.000) [2 per cell]
Li (0.000, 0.000, 0.500) [2 per cell]
Ca (0.000, 0.500, 0.250) [4 per cell]

Results
Energy relative to the elements, eV per atom: 0.09
Distance to the lowest polymorph of the same formula, meV/atom: 70
Energy, eV per atom: -1.81

=====

[2]
Compound: SrLi8Ca3
Source: the Alexandria database
Functional: PBE-GGA
Structure: optimized geometry

Unit cell a=6.2852 b=6.2852 c=30.2820 alpha=90.00 beta=90.00 gamma=120.00
Space group R3m (No. 160, hexagonal axes)
Asymmetric unit:
Sr (0.0000, 0.0000, 0.0000) [3 per cell]
Li (0.0000, 0.0000, 0.3111) [3 per cell]
Li (0.0000, 0.0000, 0.8131) [3 per cell]
Li (0.1671, 0.3342, 0.3975) [9 per cell]
Li (0.1676, 0.3352, 0.8942) [9 per cell]
Ca (0.0000, 0.0000, 0.1273) [3 per cell]
Ca (0.0000, 0.0000, 0.4993) [3 per cell]
Ca (0.0000, 0.0000, 0.6226) [3 per cell]

Results
Energy relative to the elements, eV per atom: 0.00
Distance to the lowest polymorph of the same formula, meV/atom: 3
Energy, eV per atom: -1.92

=====

[3]
Compound: Sr2LiCa3
Source: the Alexandria database
Functional: PBE-GGA
Structure: optimized geometry

Unit cell a=5.978 b=17.970 c=9.567 alpha=90.00 beta=90.00 gamma=90.00
Space group Cmmm (No. 65)
Asymmetric unit:
Sr (0.000, 0.000, 0.000) [2 per cell]
Sr (0.000, 0.000, 0.500) [2 per cell]
Sr (0.000, 0.333, 0.000) [4 per cell]
Li (0.000, 0.346, 0.500) [4 per cell]
Ca (0.000, 0.176, 0.292) [8 per cell]
Ca (0.000, 0.500, 0.271) [4 per cell]

Results
Energy relative to the elements, eV per atom: 0.05
Distance to the lowest polymorph of the same formula, meV/atom: 0
Energy, eV per atom: -1.83

=====

[4]
Compound: SrLi2Ca10
Source: the Alexandria database
Functional: PBE-GGA
Structure: optimized geometry

Unit cell a=6.936 b=9.405 c=9.435 alpha=82.45 beta=68.54 gamma=68.81
Space group P-1 (No. 2)
Asymmetric unit:
Sr (0.000, 0.000, 0.000) [1 per cell]
Li (0.000, 0.000, 0.500) [1 per cell]
Li (0.500, 0.000, 0.500) [1 per cell]
Ca (0.000, 0.500, 0.000) [1 per cell]
Ca (0.009, 0.343, 0.639) [2 per cell]
Ca (0.284, 0.207, 0.223) [2 per cell]
Ca (0.351, 0.657, 0.639) [2 per cell]
Ca (0.492, 0.793, 0.224) [2 per cell]
Ca (0.500, 0.500, 0.000) [1 per cell]

Results
Energy relative to the elements, eV per atom: 0.07
Energy, eV per atom: -1.90

=====

[5]
Compound: Sr5LiCa2
Source: the Alexandria database
Functional: PBE-GGA
Structure: optimized geometry

Unit cell a=9.620 b=18.503 c=4.275 alpha=90.00 beta=90.00 gamma=90.00
Space group Pbam (No. 55)
Asymmetric unit:
Sr (0.000, 0.000, 0.000) [2 per cell]
Sr (0.000, 0.231, 0.000) [4 per cell]
Sr (0.207, 0.388, 0.500) [4 per cell]
Li (0.000, 0.500, 0.000) [2 per cell]
Ca (0.212, 0.614, 0.500) [4 per cell]

Results
Energy relative to the elements, eV per atom: 0.03
Energy, eV per atom: -1.76

=====

[6]
Compound: SrLi16Ca2
Source: the Alexandria database
Functional: PBE-GGA
Structure: optimized geometry

Unit cell a=10.3600 b=10.3600 c=15.0233 alpha=90.00 beta=90.00 gamma=120.00
Space group R3m (No. 160, hexagonal axes)
Asymmetric unit:
Sr (0.0000, 0.0000, 0.0000) [3 per cell]
Li (0.0000, 0.0000, 0.2142) [3 per cell]
Li (0.0024, 0.5012, 0.9454) [9 per cell]
Li (0.0207, 0.3524, 0.7690) [18 per cell]
Li (0.0230, 0.5115, 0.2534) [9 per cell]
Li (0.1791, 0.3582, 0.9326) [9 per cell]
Ca (0.0000, 0.0000, 0.4419) [3 per cell]
Ca (0.0000, 0.0000, 0.7396) [3 per cell]

Results
Energy relative to the elements, eV per atom: 0.03
Energy, eV per atom: -1.88